# Cd2AgW GGA-PBE relaxed
# Total energy = -3.773 eV per atom
data_Cd2AgW
_symmetry_space_group_name_H-M 'P 4/m m m'
_symmetry_Int_Tables_number 123
_symmetry_space_group_name_Hall '-P 4 2'
_cell_length_a 4.2633
_cell_length_b 4.2633
_cell_length_c 4.0601
_cell_angle_alpha 90.00
_cell_angle_beta 90.00
_cell_angle_gamma 90.00
loop_
_atom_site_label
_atom_site_type_symbol
_atom_site_fract_x
_atom_site_fract_y
_atom_site_fract_z
_atom_site_occupancy
Cd1 Cd 0.0000 0.5000 0.0000 1
Ag1 Ag 0.0000 0.0000 0.5000 1
W1 W 0.5000 0.5000 0.5000 1

***

# CdAg2W GGA-PBE relaxed
# Total energy = -4.320 eV per atom
data_CdAg2W
_symmetry_space_group_name_H-M 'P m m 2'
_symmetry_Int_Tables_number 25
_cell_length_a 2.7696
_cell_length_b 4.2775
_cell_length_c 6.0273
_cell_angle_alpha 90.00
_cell_angle_beta 90.00
_cell_angle_gamma 90.00
loop_
_symmetry_equiv_pos_as_xyz
'x,y,z'
'-x,-y,z'
'-x,y,z'
'x,-y,z'
loop_
_atom_site_label
_atom_site_type_symbol
_atom_site_fract_x
_atom_site_fract_y
_atom_site_fract_z
_atom_site_occupancy
Cd1 Cd 0.0000 0.0000 0.0000 1
Ag1 Ag 0.0000 0.0000 0.4908 1
Ag2 Ag 0.5000 0.5000 0.7451 1
W1 W 0.5000 0.5000 0.2598 1

***

# Cd2AgW GGA-PBE relaxed
# Total energy = -4.014 eV per atom
data_Cd2AgW
_symmetry_space_group_name_H-M 'P 4 m m'
_symmetry_Int_Tables_number 99
_cell_length_a 2.8413
_cell_length_b 2.8413
_cell_length_c 9.2001
_cell_angle_alpha 90.00
_cell_angle_beta 90.00
_cell_angle_gamma 90.00
loop_
_symmetry_equiv_pos_as_xyz
'x,y,z'
'-y,x,z'
'-x,-y,z'
'y,-x,z'
'-x,y,z'
'y,x,z'
'x,-y,z'
'-y,-x,z'
loop_
_atom_site_label
_atom_site_type_symbol
_atom_site_fract_x
_atom_site_fract_y
_atom_site_fract_z
_atom_site_occupancy
Cd1 Cd 0.0000 0.0000 0.0000 1
Cd2 Cd 0.5000 0.5000 0.2752 1
Ag1 Ag 0.5000 0.5000 0.7518 1
W1 W 0.0000 0.0000 0.5184 1

***

# Cd2AgW GGA-PBE relaxed
# Total energy = -4.015 eV per atom
data_Cd2AgW
_symmetry_space_group_name_H-M 'C m m 2'
_symmetry_Int_Tables_number 35
_cell_length_a 3.8238
_cell_length_b 4.2024
_cell_length_c 9.2440
_cell_angle_alpha 90.00
_cell_angle_beta 90.00
_cell_angle_gamma 90.00
loop_
_symmetry_equiv_pos_as_xyz
'x,y,z'
'-x,-y,z'
'-x,y,z'
'x,-y,z'
'x+1/2,y+1/2,z'
'-x+1/2,-y+1/2,z'
'-x+1/2,y+1/2,z'
'x+1/2,-y+1/2,z'
loop_
_atom_site_label
_atom_site_type_symbol
_atom_site_fract_x
_atom_site_fract_y
_atom_site_fract_z
_atom_site_occupancy
Cd1 Cd 0.0000 0.0000 0.0000 1
Cd2 Cd 0.0000 0.5000 0.2741 1
Ag1 Ag 0.0000 0.5000 0.7521 1
W1 W 0.0000 0.0000 0.5181 1